! Rb4Y3BiO8 | Alexandria | PBE | optimized geometry; values from VASP
! DOS at the Fermi energy   0.00 states/eV/atom
! SG   R-3m, No. 166
! Crystal system   trigonal
! Calculated density   5.46 g/cm3
! Formation energy (no corrections)   -2329.4 meV per atom
! Energy   -6.505 eV/atom
&SYSTEM
  ibrav = 0, nat = 16, ntyp = 4
/
ATOMIC_SPECIES
Rb 85.47 Rb.upf
Y 88.91 Y.upf
Bi 208.98 Bi.upf
O 16.00 O.upf
CELL_PARAMETERS angstrom
3.5527 2.0511 6.5713
-3.5527 2.0511 6.5713
0.0000 -4.1023 6.5713
ATOMIC_POSITIONS crystal
Rb 0.0000 0.0000 0.0000
Rb 0.0000 0.5000 0.5000
Rb 0.5000 0.0000 0.5000
Rb 0.5000 0.5000 0.0000
Y 0.0000 0.0000 0.5000
Y 0.0000 0.5000 0.0000
Y 0.5000 0.0000 0.0000
Bi 0.5000 0.5000 0.5000
O 0.2152 0.7328 0.7328
O 0.2251 0.2251 0.2251
O 0.2672 0.2672 0.7848
O 0.2672 0.7848 0.2672
O 0.7328 0.2152 0.7328
O 0.7328 0.7328 0.2152
O 0.7749 0.7749 0.7749
O 0.7848 0.2672 0.2672